[1]
CdTeRh2: relaxed, PBEsol.

Total energy: -5.289 eV per atom
Formation energy (no corrections): -39 meV per atom
Fermi-level density of states: 1.25 states/eV per atom
Calculated volume: 16.6 A^3/atom

a = 4.5463 Å, b = 4.5463 Å, c = 4.5463 Å
α = 60.00°, β = 60.00°, γ = 60.00°
With the nearest neighbours (Å) after each atom.
Element x y z (fractional)
Te1 0.5000 0.5000 0.5000  8 Rh 2.78
Rh1 0.2500 0.2500 0.2500  4 Te 2.78, 4 Cd 2.78
Rh2 0.7500 0.7500 0.7500  4 Cd 2.78, 4 Te 2.78
Cd1 0.0000 0.0000 0.0000  8 Rh 2.78

***

[2]
Rb3SnC: relaxed, PBEsol.

Total energy: -1.999 eV per atom
Fermi-level density of states: 1.01 states/eV per atom
Calculated volume: 67.5 A^3/atom

a = 6.9612 Å, b = 6.9612 Å, c = 6.9612 Å
α = 90.00°, β = 90.00°, γ = 90.00°
With the nearest neighbours (Å) after each atom.
Element x y z (fractional)
C1 0.5000 0.5000 0.5000  12 Rb 4.92
Sn1 0.0000 0.0000 0.0000  6 Rb 3.48
Rb1 0.0000 0.5000 0.0000  2 Sn 3.48
Rb2 0.0000 0.0000 0.5000  2 Sn 3.48
Rb3 0.5000 0.0000 0.0000  2 Sn 3.48

***

[3]
TaSbCl2: relaxed, PBEsol.

Total energy: -4.784 eV per atom
Relative energy among the computed polymorphs: 687 meV per atom
Formation energy (no corrections): 497 meV per atom
Fermi-level density of states: 0.69 states/eV per atom
Calculated volume: 18.4 A^3/atom

a = 4.7010 Å, b = 4.7010 Å, c = 4.7010 Å
α = 60.00°, β = 60.00°, γ = 60.00°
With the nearest neighbours (Å) after each atom.
Element x y z (fractional)
Sb1 0.0000 0.0000 0.0000  8 Cl 2.88
Cl1 0.2500 0.2500 0.2500  4 Ta 2.88, 4 Sb 2.88
Cl2 0.7500 0.7500 0.7500  4 Sb 2.88, 4 Ta 2.88
Ta1 0.5000 0.5000 0.5000  8 Cl 2.88

***

[4]
InSeBr2F: relaxed, PBEsol.

Total energy: -2.525 eV per atom
Formation energy (no corrections): -25 meV per atom
Fermi-level density of states: 1.32 states/eV per atom
Calculated volume: 30.0 A^3/atom

a = 5.2460 Å, b = 5.2460 Å, c = 5.4515 Å
α = 90.00°, β = 90.00°, γ = 90.00°
With the nearest neighbours (Å) after each atom.
Element x y z (fractional)
F1 0.5000 0.5000 0.5000  4 Se 3.71, 8 Br 3.78
Se1 0.0000 0.0000 0.5000  2 In 2.73
Br1 0.0000 0.5000 0.0000  2 In 2.62
Br2 0.5000 0.0000 0.0000  2 In 2.62
In1 0.0000 0.0000 0.0000  4 Br 2.62, 2 Se 2.73

***

[5]
KPdOF2: relaxed, PBEsol.

Total energy: -3.147 eV per atom
Formation energy (no corrections): 92 meV per atom
Fermi-level density of states: 2.03 states/eV per atom
Calculated volume: 19.2 A^3/atom

a = 4.5551 Å, b = 4.5551 Å, c = 4.6291 Å
α = 90.00°, β = 90.00°, γ = 90.00°
With the nearest neighbours (Å) after each atom.
Element x y z (fractional)
K1 0.0000 0.0000 0.0000  4 F 2.28, 2 O 2.31
O1 0.0000 0.0000 0.5000  2 K 2.31
Pd1 0.5000 0.5000 0.5000  4 O 3.22, 8 F 3.25
F1 0.0000 0.5000 0.0000  2 K 2.28
F2 0.5000 0.0000 0.0000  2 K 2.28

***

[6]
MgIn2Se4: relaxed, PBEsol.

Total energy: -4.019 eV per atom
Formation energy (no corrections): -721 meV per atom
Fermi-level density of states: 0.07 states/eV per atom
Calculated volume: 27.2 A^3/atom

a = 4.0679 Å, b = 4.0679 Å, c = 13.4853 Å
α = 81.33°, β = 81.33°, γ = 60.00°
With the nearest neighbours (Å) after each atom.
Element x y z (fractional)
Mg1 0.0000 0.0000 0.0000  6 Se 2.70
Se1 0.2999 0.2999 0.1004  1 In 2.51, 3 Mg 2.70
Se2 0.7001 0.7001 0.8996  1 In 2.51, 3 Mg 2.70
Se3 0.8729 0.8729 0.3813  3 In 2.65
Se4 0.1271 0.1271 0.6187  3 In 2.65
In1 0.7630 0.7630 0.7109  4 Se 2.51-2.65
In2 0.2370 0.2370 0.2891  4 Se 2.51-2.65

***

[7]
CsLi3Tl: relaxed, PBEsol.

Total energy: -1.895 eV per atom
Fermi-level density of states: 0.98 states/eV per atom
Calculated volume: 33.2 A^3/atom

a = 5.4956 Å, b = 5.4956 Å, c = 5.4956 Å
α = 90.00°, β = 90.00°, γ = 90.00°
With the nearest neighbours (Å) after each atom.
Element x y z (fractional)
Cs1 0.5000 0.5000 0.5000  12 Li 3.89
Tl1 0.0000 0.0000 0.0000  6 Li 2.75
Li1 0.0000 0.5000 0.0000  2 Tl 2.75
Li2 0.0000 0.0000 0.5000  2 Tl 2.75
Li3 0.5000 0.0000 0.0000  2 Tl 2.75

***

[8]
Ba2P: relaxed, PBEsol.

Total energy: -4.163 eV per atom
Fermi-level density of states: 0.63 states/eV per atom
Calculated volume: 48.4 A^3/atom

a = 4.5712 Å, b = 4.5712 Å, c = 8.0232 Å
α = 90.00°, β = 90.00°, γ = 120.00°
With the nearest neighbours (Å) after each atom.
Element x y z (fractional)
P1 0.0000 0.0000 0.0000  6 Ba 3.15
Ba1 0.3333 0.6667 0.7864  3 P 3.15
Ba2 0.6667 0.3333 0.2136  3 P 3.15

***

[9]
SrRu: relaxed, PBEsol.

Total energy: -5.778 eV per atom
Fermi-level density of states: 1.03 states/eV per atom
Calculated volume: 30.9 A^3/atom

a = 4.1236 Å, b = 4.1236 Å, c = 8.7373 Å
α = 76.35°, β = 76.35°, γ = 60.00°
With the nearest neighbours (Å) after each atom.
Element x y z (fractional)
Ru1 0.3324 0.3324 0.0027  3 Ru 2.38
Ru2 0.6676 0.6676 0.9973  3 Ru 2.38
Sr1 0.0888 0.0888 0.7336  6 Ru 3.25-3.28
Sr2 0.9112 0.9112 0.2664  6 Ru 3.25-3.28

***

[10]
LaIn4Si: relaxed, PBEsol.

Total energy: -3.821 eV per atom
Formation energy (no corrections): 16 meV per atom
Fermi-level density of states: 0.95 states/eV per atom
Calculated volume: 25.0 A^3/atom

a = 5.9637 Å, b = 5.9637 Å, c = 5.9637 Å
α = 60.00°, β = 60.00°, γ = 60.00°
With the nearest neighbours (Å) after each atom.
Element x y z (fractional)
In1 0.3744 0.3744 0.3744  6 In 2.97-3.00
In2 0.3744 0.3744 0.8767  6 In 2.97-3.00
In3 0.8767 0.3744 0.3744  6 In 2.97-3.00
In4 0.3744 0.8767 0.3744  6 In 2.97-3.00
La1 0.7500 0.7500 0.7500  12 In 3.50, 4 Si 3.65
Si1 0.0000 0.0000 0.0000  12 In 3.50, 4 La 3.65

***

[11]
FeNiMo2: relaxed, PBEsol.

Total energy: -9.581 eV per atom
Relative energy among the computed polymorphs: 60 meV per atom
Fermi-level density of states: 0.78 states/eV per atom
Calculated volume: 13.1 A^3/atom

a = 2.5882 Å, b = 2.5882 Å, c = 7.9901 Å
α = 90.00°, β = 90.00°, γ = 102.56°
With the nearest neighbours (Å) after each atom.
Element x y z (fractional)
Fe1 0.5000 0.5000 0.2672  2 Ni 2.39, 2 Mo 2.58, 4 Fe 2.59
Mo1 0.0000 0.0000 0.0151  4 Fe 2.58-2.85, 6 Mo 2.59-2.79
Mo2 0.5000 0.5000 0.7304  4 Ni 2.53-2.80, 6 Mo 2.59-2.79
Ni1 0.0000 0.0000 0.4873  2 Fe 2.39, 2 Mo 2.53, 4 Ni 2.59

***

[12]
BeCu2Au: relaxed, PBEsol.

Total energy: -4.203 eV per atom
Fermi-level density of states: 0.33 states/eV per atom
Calculated volume: 12.1 A^3/atom

a = 3.7226 Å, b = 3.7226 Å, c = 4.3751 Å
α = 115.18°, β = 115.18°, γ = 90.00°
With the nearest neighbours (Å) after each atom.
Element x y z (fractional)
Be1 0.2500 0.7500 0.5000  8 Cu 2.55-2.63, 4 Au 2.55
Au1 0.5000 0.5000 0.0000  4 Be 2.55, 8 Cu 2.55-2.63
Cu1 0.0000 0.0000 0.0000  4 Be 2.55, 4 Cu 2.55, 4 Au 2.63
Cu2 0.7500 0.2500 0.5000  4 Cu 2.55, 4 Au 2.55, 4 Be 2.63

***

[13]
TeMo2Se2S: relaxed, PBEsol.

Total energy: -7.156 eV per atom
Formation energy (no corrections): -632 meV per atom
Fermi-level density of states: 0.06 states/eV per atom
Calculated volume: 20.5 A^3/atom

a = 3.2866 Å, b = 3.2866 Å, c = 26.2689 Å
α = 90.00°, β = 90.00°, γ = 120.00°
With the nearest neighbours (Å) after each atom.
Element x y z (fractional)
Te1 0.6667 0.3333 0.5758  3 Mo 2.68
Te2 0.6667 0.3333 0.4317  3 Mo 2.68
Mo1 0.0000 0.0000 0.9953  6 Se 2.52
Mo2 0.0000 0.0000 0.5037  6 Te 2.68
Mo3 0.6667 0.3333 0.7550  6 S 2.42
Mo4 0.6667 0.3333 0.2430  6 Se 2.52
Se1 0.0000 0.0000 0.1799  3 Mo 2.52
Se2 0.6667 0.3333 0.0585  3 Mo 2.52
Se3 0.6667 0.3333 0.9322  3 Mo 2.52
Se4 0.0000 0.0000 0.3062  3 Mo 2.52
S1 0.0000 0.0000 0.6975  3 Mo 2.42
S2 0.0000 0.0000 0.8124  3 Mo 2.42

***

[14]
HfMoN2F: relaxed, PBEsol.

Total energy: -8.723 eV per atom
Formation energy (no corrections): -473 meV per atom
Fermi-level density of states: 0.83 states/eV per atom
Calculated volume: 11.9 A^3/atom

a = 3.8424 Å, b = 3.9373 Å, c = 3.9373 Å
α = 90.00°, β = 90.00°, γ = 90.00°
With the nearest neighbours (Å) after each atom.
Element x y z (fractional)
Mo1 0.0000 0.0000 0.0000  2 F 1.92, 4 N 1.97
N1 0.0000 0.0000 0.5000  2 Mo 1.97
N2 0.0000 0.5000 0.0000  2 Mo 1.97
Hf1 0.5000 0.5000 0.5000  8 N 2.75, 4 F 2.78
F1 0.5000 0.0000 0.0000  2 Mo 1.92

***

[15]
Ba2VCu3S6: relaxed, PBEsol.

Total energy: -5.530 eV per atom
Formation energy (no corrections): -1093 meV per atom
Calculated volume: 20.9 A^3/atom

a = 8.6579 Å, b = 8.6579 Å, c = 8.8079 Å
α = 103.97°, β = 105.47°, γ = 118.88°
With the nearest neighbours (Å) after each atom.
Element x y z (fractional)
Ba1 0.8427 0.1469 0.0557  7 S 3.12-3.48
Ba2 0.5912 0.7871 0.4443  7 S 3.12-3.48
Ba3 0.1573 0.8531 0.9443  7 S 3.12-3.48
Ba4 0.4088 0.2129 0.5557  7 S 3.12-3.48
V1 0.8904 0.6404 0.2500  4 S 2.15-2.18
V2 0.1096 0.3596 0.7500  4 S 2.15-2.18
Cu1 0.1589 0.6677 0.5061  4 S 2.24-2.40
Cu2 0.3383 0.3472 0.0061  4 S 2.24-2.40
Cu3 0.4148 0.6648 0.7500  4 S 2.31
Cu4 0.5852 0.3352 0.2500  4 S 2.31
Cu5 0.8411 0.3323 0.4939  4 S 2.24-2.40
Cu6 0.6617 0.6528 0.9939  4 S 2.24-2.40
S1 0.6329 0.3816 0.0140  1 V 2.18, 3 Cu 2.29-2.40
S2 0.3025 0.3061 0.2386  2 Cu 2.24-2.31
S3 0.3671 0.6184 0.9860  1 V 2.18, 3 Cu 2.29-2.40
S4 0.8583 0.3481 0.7583  1 V 2.15, 1 Cu 2.26
S5 0.6975 0.6939 0.7614  2 Cu 2.24-2.31
S6 0.4324 0.9360 0.7386  2 Cu 2.24-2.31
S7 0.1417 0.6519 0.2417  1 V 2.15, 1 Cu 2.26
S8 0.8677 0.6190 0.4860  1 V 2.18, 3 Cu 2.29-2.40
S9 0.9102 0.9000 0.2583  1 V 2.15, 1 Cu 2.26
S10 0.5676 0.0640 0.2614  2 Cu 2.24-2.31
S11 0.1323 0.3810 0.5140  1 V 2.18, 3 Cu 2.29-2.40
S12 0.0898 0.1000 0.7417  1 V 2.15, 1 Cu 2.26

***

[16]
LaRuCl3: relaxed, PBEsol.

Total energy: -4.623 eV per atom
Formation energy (no corrections): -315 meV per atom
Fermi-level density of states: 2.32 states/eV per atom
Calculated volume: 33.1 A^3/atom

a = 5.4910 Å, b = 5.4910 Å, c = 5.4910 Å
α = 90.00°, β = 90.00°, γ = 90.00°
With the nearest neighbours (Å) after each atom.
Element x y z (fractional)
Ru1 0.5000 0.5000 0.5000  12 Cl 3.88
Cl1 0.0000 0.5000 0.0000  2 La 2.75
Cl2 0.0000 0.0000 0.5000  2 La 2.75
Cl3 0.5000 0.0000 0.0000  2 La 2.75
La1 0.0000 0.0000 0.0000  6 Cl 2.75

***

[17]
CsSrLi2La: relaxed, PBEsol.

Total energy: -1.716 eV per atom
Fermi-level density of states: 0.75 states/eV per atom
Calculated volume: 37.7 A^3/atom

a = 5.6009 Å, b = 5.6009 Å, c = 6.0072 Å
α = 90.00°, β = 90.00°, γ = 90.00°
With the nearest neighbours (Å) after each atom.
Element x y z (fractional)
Cs1 0.0000 0.0000 0.0000  4 Li 2.80, 2 La 3.00
Sr1 0.5000 0.5000 0.5000  4 La 3.96, 8 Li 4.11
Li1 0.0000 0.5000 0.0000  2 Cs 2.80
Li2 0.5000 0.0000 0.0000  2 Cs 2.80
La1 0.0000 0.0000 0.5000  2 Cs 3.00

***

[18]
BeInBi2: relaxed, PBEsol.

Total energy: -3.612 eV per atom
Fermi-level density of states: 0.56 states/eV per atom
Calculated volume: 29.9 A^3/atom

a = 6.1004 Å, b = 6.1004 Å, c = 7.7474 Å
α = 113.19°, β = 113.19°, γ = 90.00°
With the nearest neighbours (Å) after each atom.
Element x y z (fractional)
Be1 0.7500 0.2500 0.5000  4 Bi 2.50
Be2 0.5000 0.5000 0.0000  4 Bi 2.50
Bi1 0.4349 0.8750 0.2500  2 Be 2.50
Bi2 0.8151 0.3750 0.2500  2 Be 2.50
Bi3 0.1250 0.1849 0.7500  2 Be 2.50
Bi4 0.6250 0.5651 0.7500  2 Be 2.50
In1 0.2500 0.7500 0.5000  4 Bi 2.91
In2 0.0000 0.0000 0.0000  4 Bi 2.91

***

[19]
NbGaPd3: relaxed, PBEsol.

Total energy: -5.408 eV per atom
Fermi-level density of states: 0.88 states/eV per atom
Calculated volume: 22.0 A^3/atom

a = 4.7903 Å, b = 4.7903 Å, c = 4.7903 Å
α = 90.00°, β = 90.00°, γ = 90.00°
With the nearest neighbours (Å) after each atom.
Element x y z (fractional)
Nb1 0.0000 0.0000 0.0000  6 Pd 2.40
Ga1 0.5000 0.5000 0.5000  12 Pd 3.39
Pd1 0.0000 0.5000 0.0000  2 Nb 2.40
Pd2 0.0000 0.0000 0.5000  2 Nb 2.40
Pd3 0.5000 0.0000 0.0000  2 Nb 2.40

***

[20]
Re2BiSb: relaxed, PBEsol.

Total energy: -7.038 eV per atom
Formation energy (no corrections): 1838 meV per atom
Fermi-level density of states: 1.72 states/eV per atom
Calculated volume: 27.5 A^3/atom

a = 6.2855 Å, b = 6.2855 Å, c = 7.1185 Å
α = 116.20°, β = 116.20°, γ = 90.00°
With the nearest neighbours (Å) after each atom.
Element x y z (fractional)
Re1 0.8628 0.3750 0.2500  2 Sb 2.58, 2 Bi 2.67
Re2 0.3872 0.8750 0.2500  2 Sb 2.58, 2 Bi 2.67
Re3 0.6250 0.6128 0.7500  2 Sb 2.58, 2 Bi 2.67
Re4 0.1250 0.1372 0.7500  2 Sb 2.58, 2 Bi 2.67
Bi1 0.2500 0.7500 0.5000  4 Re 2.67
Bi2 0.0000 0.0000 0.0000  4 Re 2.67
Sb1 0.7500 0.2500 0.5000  4 Re 2.58
Sb2 0.5000 0.5000 0.0000  4 Re 2.58